Entry from Alexandria: a relaxed CuRh5 crystal (PBEsol).

Calculated values
For the volume, the calculation gives 13.26 A^3/atom. For the energy of formation, the calculation gives 42.5 kJ/mol of formula units. For the size of the total moment, the calculation gives 0.001 μB per atom. The value obtained for the energy is -7.431 eV/atom. For the theoretical density, the calculation gives 12.06 g/cm³. Its energy relative to the lowest polymorph listed for this composition is 0 meV/atom.

a b c (Å): 2.6805 5.0375 6.3208
angles (deg): 104.20 90.00 105.43
Last column: nearest neighbours and their distance in Å.
Fractional coordinates of all 6 atoms:
Cu: 0.0005 0.0009 0.9989  10 Rh 2.63-2.66, 2 Cu 2.68
Rh: 0.3877 0.7755 0.2760  10 Rh 2.63-2.69, 2 Cu 2.65
Rh: 0.6663 0.3326 0.3316  10 Rh 2.63-2.69, 2 Cu 2.66
Rh: 0.0565 0.1130 0.6123  11 Rh 2.62-2.69, 1 Cu 2.64
Rh: 0.3332 0.6664 0.6695  10 Rh 2.62-2.69, 2 Cu 2.66
Rh: 0.7225 0.4450 0.9451  3 Cu 2.63, 9 Rh 2.63-2.68

Entry from Alexandria: a relaxed K2ZnPt crystal (PBEsol).

Calculated values
For the volume, the calculation gives 24.31 A^3/atom. For the energy of formation, the calculation gives 135.2 kJ/mol of formula units. For the size of the total moment, the calculation gives 0.000 μB per atom. The value obtained for the energy is -2.353 eV/atom. For the theoretical density, the calculation gives 5.78 g/cm³.

a b c (Å): 3.0879 3.0879 10.1963
angles (deg): 90.00 90.00 90.00
Last column: nearest neighbours and their distance in Å.
Fractional coordinates of all 4 atoms:
K: 0.0000 0.0000 0.7770  4 K 3.09, 4 Pt 3.15
K: 0.0000 0.0000 0.2230  4 K 3.09, 4 Pt 3.15
Pt: 0.5000 0.5000 0.0000  4 Pt 3.09, 8 K 3.15
Zn: 0.5000 0.5000 0.5000  4 Zn 3.09